A relaxed K3Y crystal, computed with PBE-GGA.

Output
* SG: P2/m (10)
* energy relative to the elements: 0.426 eV/atom
* uncorrected energy: -2.01 eV per atom

a b c (Å): 6.935 3.785 8.254
angles (deg): 81.52 90.00 90.00
Last column: magnetic moment on the atom in μB.
Sites, in units of the cell vectors:
K1 0.000 0.916 0.018  0.00
K2 0.500 0.750 0.750  0.00
K3 0.000 0.584 0.482  0.00
Y1 0.500 0.250 0.250  0.26

=====

A relaxed AlRh2 crystal, computed with PBE-GGA.

Output
* SG: P4/mmm (123)
* energy relative to the elements: -0.180 eV/atom
* uncorrected energy: -6.33 eV per atom

a b c (Å): 4.054 4.054 2.908
angles (deg): 90.00 90.00 90.00
Sites, in units of the cell vectors:
Rh1 0.000 0.500 0.500
Rh2 0.500 0.000 0.500
Al1 0.000 0.000 0.000